1.
NaY2NiIr PBE-GGA relaxed; formation energy = 0.34 eV/atom; calculated density = 5.227 g/cm³; raw total energy = -5.435 eV/atom
1.0
5.2702 0.0000 0.0000
0.0000 5.1670 0.0000
0.0000 0.0000 5.2702
Y Na Ir Ni
2 1 1 1
direct
0.5000 0.0000 0.0000 Y
0.0000 0.0000 0.5000 Y
0.0000 0.5000 0.0000 Na
0.0000 0.0000 0.0000 Ir
0.5000 0.5000 0.5000 Ni

---

2.
BaEuCuP PBE-GGA relaxed; formation energy = -0.50 eV/atom; calculated density = 5.901 g/cm³; raw total energy = -5.925 eV/atom
1.0
5.3456 0.0000 0.0000
2.6728 4.6294 0.0000
2.6728 1.5431 4.3647
P Ba Eu Cu
1 1 1 1
direct
0.7500 0.7500 0.7500 P
0.0000 0.0000 0.0000 Ba
0.5000 0.5000 0.5000 Eu
0.2500 0.2500 0.2500 Cu

---

3.
Ba4DySn3O12 PBE-GGA relaxed; calculated density = 6.783 g/cm³; raw total energy = -6.534 eV/atom; formation energy (no corrections) = -46.9 eV per formula unit
1.0
7.3723 0.0000 0.0000
-2.4574 6.9507 0.0000
-2.4574 -3.4753 6.0195
O Sn Ba Dy
12 3 4 1
direct
0.0000 0.7388 0.7388 O
0.2500 0.5000 0.7500 O
0.0000 0.2612 0.2612 O
0.7388 0.7388 0.0000 O
0.2612 0.0000 0.2612 O
0.2612 0.2612 0.0000 O
0.5000 0.2500 0.7500 O
0.5000 0.7500 0.2500 O
0.2500 0.7500 0.5000 O
0.7500 0.5000 0.2500 O
0.7500 0.2500 0.5000 O
0.7388 0.0000 0.7388 O
0.5000 0.0000 0.5000 Sn
0.5000 0.5000 0.0000 Sn
0.0000 0.5000 0.5000 Sn
0.0000 0.5000 0.0000 Ba
0.0000 0.0000 0.5000 Ba
0.5000 0.0000 0.0000 Ba
0.5000 0.5000 0.5000 Ba
0.0000 0.0000 0.0000 Dy

---

4.
Cs3RhBr6 PBE-GGA relaxed; calculated density = 4.010 g/cm³; raw total energy = -3.219 eV/atom; formation energy (no corrections) = -12.2 eV per formula unit
1.0
-6.6386 5.0873 2.0012
-6.1542 0.4393 -5.2024
-7.0645 -3.4853 1.7545
Rh Br Cs
1 6 3
direct
0.5000 0.5000 0.5000 Rh
0.7786 0.2971 0.2971 Br
0.3460 0.2301 0.6716 Br
0.6540 0.7699 0.3284 Br
0.6540 0.3284 0.7699 Br
0.3460 0.6716 0.2301 Br
0.2214 0.7029 0.7029 Br
0.7334 0.7633 0.7633 Cs
0.0000 0.0000 0.0000 Cs
0.2666 0.2367 0.2367 Cs

---

5.
Ca2ErS3 PBE-GGA relaxed; E above lowest polymorph = 0 kJ/mol of formula units; calculated density = 4.313 g/cm³; raw total energy = -5.567 eV/atom; formation energy (no corrections) = -12.5 eV per formula unit
1.0
6.7563 0.0338 -1.2515
-2.5824 6.2435 -1.2515
-0.0140 -0.0211 12.5270
Ca S Er
8 12 4
direct
0.7491 0.7491 0.4983 Ca
0.5825 0.5825 0.1650 Ca
0.9991 0.4991 0.9983 Ca
0.2509 0.2509 0.5017 Ca
0.8325 0.3325 0.6650 Ca
0.4175 0.4175 0.8350 Ca
0.6675 0.1675 0.3350 Ca
0.5009 0.0009 0.0017 Ca
0.2420 0.2420 0.0000 S
0.7580 0.7580 0.0000 S
0.4920 0.9920 0.5000 S
0.3267 0.8346 0.1695 S
0.1654 0.6733 0.8305 S
0.9233 0.9154 0.3305 S
0.6651 0.1571 0.8305 S
0.5849 0.5929 0.6695 S
0.4071 0.4151 0.3305 S
0.8429 0.3349 0.1695 S
0.0846 0.0767 0.6695 S
0.0080 0.5080 0.5000 S
0.0832 0.0832 0.1665 Er
0.9168 0.9168 0.8335 Er
0.3332 0.8332 0.6665 Er
0.1668 0.6668 0.3335 Er

---

6.
Th2ZnPt PBE-GGA relaxed; formation energy = -0.60 eV/atom; calculated density = 12.389 g/cm³; raw total energy = -6.140 eV/atom
1.0
-1.3081 1.7344 2.9982
2.9523 -1.1178 1.9347
3.4661 5.8822 -1.8906
Zn Th Pt
1 2 1
direct
0.5000 0.5000 0.5000 Zn
0.0000 0.0000 0.7582 Th
0.0000 0.0000 0.2418 Th
0.5000 0.5000 0.0000 Pt

---

7.
Sm5HgPt2 PBE-GGA relaxed; formation energy = -0.62 eV/atom; E above lowest polymorph = 102 kJ/mol of formula units; calculated density = 9.192 g/cm³; raw total energy = -5.122 eV/atom
1.0
-2.6018 0.3135 -4.9770
4.3984 -5.0788 0.5592
-10.2508 -8.3454 4.8330
Sm Pt Hg
10 4 2
direct
0.7672 0.5343 0.2500 Sm
0.3607 0.7213 0.0662 Sm
0.9430 0.8861 0.6239 Sm
0.9430 0.8861 0.8761 Sm
0.6393 0.2787 0.5662 Sm
0.3607 0.7213 0.4338 Sm
0.6393 0.2787 0.9338 Sm
0.0570 0.1139 0.3761 Sm
0.2328 0.4657 0.7500 Sm
0.0570 0.1139 0.1239 Sm
0.1665 0.3330 0.9448 Pt
0.8335 0.6670 0.0552 Pt
0.8335 0.6670 0.4448 Pt
0.1665 0.3330 0.5552 Pt
0.5133 0.0265 0.2500 Hg
0.4867 0.9735 0.7500 Hg

---

8.
LiErSeS PBE-GGA relaxed; calculated density = 5.517 g/cm³; raw total energy = -5.294 eV/atom; formation energy (no corrections) = -7.1 eV per formula unit
1.0
-2.2092 0.3847 3.2595
1.7126 -0.0375 3.5663
0.5326 6.4044 2.0061
Li Er S Se
1 1 1 1
direct
0.0013 0.0013 0.9961 Li
0.4959 0.4959 0.5122 Er
0.7515 0.7515 0.7455 S
0.2513 0.2513 0.2462 Se

---

9.
Sb2PbW PBE-GGA relaxed; calculated density = 9.966 g/cm³; raw total energy = -5.768 eV/atom; formation energy (no corrections) = 1.8 eV per formula unit
1.0
8.5776 0.0318 -0.0037
7.0489 4.8876 0.0037
-7.7446 -2.6779 2.5351
Pb Sb W
1 2 1
direct
0.3161 0.8161 0.5000 Pb
0.9726 0.9726 0.0000 Sb
0.6695 0.1695 0.5000 Sb
0.5418 0.5418 0.0000 W

---

10.
Sc6CoBi2 PBE-GGA relaxed; formation energy = -0.11 eV/atom; calculated density = 4.750 g/cm³; raw total energy = -5.982 eV/atom
1.0
6.2387 0.0000 0.0000
0.0000 6.2387 0.0000
0.0000 0.0000 13.4120
Sc Co Bi
12 2 4
direct
0.7149 0.7149 0.0000 Sc
0.1798 0.8202 0.8706 Sc
0.2149 0.7851 0.5000 Sc
0.1798 0.8202 0.1294 Sc
0.3202 0.3202 0.6294 Sc
0.2851 0.2851 0.0000 Sc
0.6798 0.6798 0.6294 Sc
0.3202 0.3202 0.3706 Sc
0.8202 0.1798 0.1294 Sc
0.8202 0.1798 0.8706 Sc
0.7851 0.2149 0.5000 Sc
0.6798 0.6798 0.3706 Sc
0.0000 0.0000 0.0000 Co
0.5000 0.5000 0.5000 Co
0.0000 0.0000 0.3199 Bi
0.5000 0.5000 0.8199 Bi
0.5000 0.5000 0.1801 Bi
0.0000 0.0000 0.6801 Bi

---

11.
La4SnB3Rh12 PBE-GGA relaxed; formation energy = -0.56 eV/atom; calculated density = 9.259 g/cm³; raw total energy = -7.163 eV/atom
1.0
-0.8988 1.6836 7.4354
3.4213 -6.8381 -0.6799
4.3457 5.3782 -3.3342
La Rh B Sn
4 12 3 1
direct
0.0000 0.0000 0.5000 La
0.5000 0.5000 0.5000 La
0.0000 0.5000 0.0000 La
0.5000 0.0000 0.0000 La
0.7195 0.7195 0.0000 Rh
0.2805 0.2805 0.0000 Rh
0.5000 0.7500 0.2500 Rh
0.7195 0.0000 0.7195 Rh
0.2500 0.5000 0.7500 Rh
0.7500 0.2500 0.5000 Rh
0.0000 0.7195 0.7195 Rh
0.2500 0.7500 0.5000 Rh
0.5000 0.2500 0.7500 Rh
0.7500 0.5000 0.2500 Rh
0.0000 0.2805 0.2805 Rh
0.2805 0.0000 0.2805 Rh
0.5000 0.5000 0.0000 B
0.0000 0.5000 0.5000 B
0.5000 0.0000 0.5000 B
0.0000 0.0000 0.0000 Sn

---

12.
CdPRu2 PBE-GGA relaxed; formation energy = 0.11 eV/atom; E above lowest polymorph = 92 kJ/mol of formula units; calculated density = 8.766 g/cm³; raw total energy = -6.107 eV/atom
1.0
1.4602 -5.0986 0.0000
1.4602 5.0986 0.0000
0.0000 0.0000 4.3956
Ru P Cd
2 1 1
direct
0.5911 0.4089 0.5000 Ru
0.2091 0.7909 0.0000 Ru
0.2669 0.7331 0.5000 P
0.9461 0.0539 0.0000 Cd